(1)
VASP calculation (PBE-GGA) on crystalline Ba2AgSe at its relaxed geometry.

Structure (extended XYZ):
```
4
Lattice="-0.618 -2.871 3.633 -3.130 -3.458 -0.262 4.636 -7.208 -1.903" Properties=species:S:1:pos:R:3 pbc="T T T"
Ba 0.270 -3.426 0.342
Ba 3.121 -5.895 -1.124
Se 0.434 -6.760 0.739
Ag -2.493 -4.225 2.245
```

For the density of states at the Fermi level, the calculation gives 3.5 states/eV/f.u. As for the space group: R3m.

---

(2)
VASP calculation (PBE-GGA) on crystalline Ba2AgSe at its relaxed geometry.

Structure (extended XYZ):
```
4
Lattice="-4.762 -2.590 1.645 -1.658 -4.773 -2.561 0.270 -4.938 2.763" Properties=species:S:1:pos:R:3 pbc="T T T"
Ag -3.075 -6.151 0.923
Ba -1.538 -3.075 0.462
Ba 0.000 0.000 0.000
Se -4.613 -9.226 1.385
```

For the density of states at the Fermi level, the calculation gives 3.3 states/eV/f.u. As for the space group: F-43m.

---

Magnetic moment values (in μB per cell) by entry order: 0.009 0.000.
E_form (uncorrected) values (in meV per atom) by entry order: -977 -372.
DFT total energy values (in eV per atom) by entry order: -3.52 -2.92.